Entry from Alexandria via LeMat-Bulk: a relaxed ThScGaTc crystal (GGA-PBE).

Final energy (eV/atom): -7.053
ΔE_f (meV per atom): -267

Unit cell a=4.9278 b=4.9278 c=4.9278 alpha=60.00 beta=60.00 gamma=60.00
Atoms (fractional coordinates):
Th: 0.0000 0.0000 0.0000
Sc: 0.5000 0.5000 0.5000
Ga: 0.2500 0.2500 0.2500
Tc: 0.7500 0.7500 0.7500

***

Entry from Alexandria via LeMat-Bulk: a relaxed ScTiGaTc crystal (GGA-PBE).

Final energy (eV/atom): -7.342
Excess energy over the best structure of this formula in the dataset (meV per atom): 95.6
ΔE_f (meV per atom): -437

Unit cell a=4.5347 b=4.5347 c=4.5347 alpha=60.00 beta=60.00 gamma=60.00
Atoms (fractional coordinates):
Tc: 0.5000 0.5000 0.5000
Ti: 0.2500 0.2500 0.2500
Sc: 0.7500 0.7500 0.7500
Ga: 0.0000 0.0000 0.0000

***

Entry from Alexandria via LeMat-Bulk: a relaxed ScTiGaTc crystal (GGA-PBE).

Final energy (eV/atom): -7.438
Excess energy over the best structure of this formula in the dataset (meV per atom): 0.0
ΔE_f (meV per atom): -533

Unit cell a=3.2535 b=3.2535 c=6.3432 alpha=90.00 beta=90.00 gamma=90.00
Atoms (fractional coordinates):
Ti: 0.0000 0.0000 0.3400
Sc: 0.0000 0.0000 0.8692
Ga: 0.5000 0.5000 0.5865
Tc: 0.5000 0.5000 0.1323

***

Entry from Alexandria via LeMat-Bulk: a relaxed ScVGaTc crystal (GGA-PBE).

Final energy (eV/atom): -7.480
ΔE_f (meV per atom): -270

Unit cell a=4.4558 b=4.4558 c=4.4558 alpha=60.00 beta=60.00 gamma=60.00
Atoms (fractional coordinates):
Tc: 0.7500 0.7500 0.7500
Ga: 0.2500 0.2500 0.2500
Sc: 0.5000 0.5000 0.5000
V: 0.0000 0.0000 0.0000

***

Entry from Alexandria via LeMat-Bulk: a relaxed Sc2ZnGa5Tc2 crystal (GGA-PBE).

Final energy (eV/atom): -5.161
ΔE_f (meV per atom): -181

Unit cell a=3.5693 b=9.8719 c=9.8719 alpha=90.00 beta=90.00 gamma=90.00
Atoms (fractional coordinates):
Ga: 0.5000 0.4475 0.3033
Ga: 0.5000 0.6967 0.4475
Ga: 0.5000 0.0525 0.8033
Ga: 0.5000 0.0000 0.5000
Ga: 0.5000 0.5525 0.6967
Ga: 0.5000 0.8033 0.9475
Ga: 0.5000 0.3033 0.5525
Ga: 0.5000 0.9475 0.1967
Ga: 0.5000 0.5000 0.0000
Ga: 0.5000 0.1967 0.0525
Sc: 0.0000 0.1859 0.3141
Sc: 0.0000 0.6859 0.1859
Sc: 0.0000 0.3141 0.8141
Sc: 0.0000 0.8141 0.6859
Zn: 0.0000 0.0000 0.0000
Zn: 0.0000 0.5000 0.5000
Tc: 0.0000 0.1243 0.6243
Tc: 0.0000 0.8757 0.3757
Tc: 0.0000 0.6243 0.8757
Tc: 0.0000 0.3757 0.1243

***

Entry from Alexandria via LeMat-Bulk: a relaxed ScGaTe crystal (GGA-PBE).

Final energy (eV/atom): -4.881
Formation energy without anion corrections (eV/atom): -0.71

Unit cell a=4.2688 b=4.2688 c=10.4850 alpha=78.25 beta=78.25 gamma=60.00
Atoms (fractional coordinates):
Te: 0.2759 0.2759 0.1724
Te: 0.7241 0.7241 0.8276
Ga: 0.8423 0.8423 0.4731
Ga: 0.1577 0.1577 0.5269
Sc: 0.4381 0.4381 0.6857
Sc: 0.5619 0.5619 0.3143

***

Entry from Alexandria via LeMat-Bulk: a relaxed Sc3GaTe2 crystal (GGA-PBE).

Final energy (eV/atom): -5.657
Formation energy without anion corrections (eV/atom): -0.94

Unit cell a=7.0554 b=7.0554 c=7.1757 alpha=99.44 beta=99.44 gamma=120.12
Atoms (fractional coordinates):
Ga: 0.0017 0.9983 0.0000
Ga: 0.6649 0.3351 0.0000
Sc: 0.7608 0.7438 0.2296
Sc: 0.2562 0.2392 0.7703
Sc: 0.4105 0.0941 0.2296
Sc: 0.0564 0.3897 0.2238
Sc: 0.6103 0.9436 0.7762
Sc: 0.9059 0.5895 0.7704
Te: 0.3333 0.6667 0.0000
Te: 0.8333 0.1667 0.5000
Te: 0.4937 0.5063 0.5000
Te: 0.1729 0.8271 0.5000

***

Entry from Alexandria via LeMat-Bulk: a relaxed Sc5Ga2Te2 crystal (GGA-PBE).

Final energy (eV/atom): -5.756
Formation energy without anion corrections (eV/atom): -0.87

Unit cell a=7.4291 b=7.4444 c=8.1495 alpha=90.00 beta=62.88 gamma=90.00
Atoms (fractional coordinates):
Sc: 0.7082 0.3323 0.2509
Sc: 0.7918 0.8323 0.7491
Sc: 0.4591 0.1677 0.7491
Sc: 0.0000 0.0000 0.0000
Sc: 0.2082 0.1677 0.2509
Sc: 0.9591 0.3323 0.7491
Sc: 0.5000 0.5000 0.0000
Sc: 0.2918 0.6677 0.7491
Sc: 0.0409 0.6677 0.2509
Sc: 0.5409 0.8323 0.2509
Te: 0.2939 0.5000 0.4122
Te: 0.7939 0.0000 0.4122
Te: 0.7061 0.5000 0.5878
Te: 0.2061 0.0000 0.5878
Ga: 0.8688 0.6292 0.0000
Ga: 0.6312 0.1292 0.0000
Ga: 0.3688 0.8708 0.0000
Ga: 0.1312 0.3708 0.0000

***

Which calculated density belongs to each record? In order, 8.7, 6.6, 6.4, 7.0, 6.7, 5.0, 5.2, 5.1 Mg/m³.